No. 1
The following is a DFT calculation (PBE-GGA) of crystalline NdDyAs2 at its relaxed geometry.

## Properties
Crystal system: trigonal
Magnetic moment in μB per formula unit: 0.00
ΔE to the lowest computed polymorph in meV/atom: 0
Space-group type: No. 166
Energy of formation in eV per atom: -1.519

a b c (Å): 7.261 7.261 7.261
angles (deg): 33.61 33.61 33.61
Fractional positions:
Nd  0.000  0.000  0.000
Dy  0.500  0.500  0.500
As  0.247  0.247  0.247
As  0.753  0.753  0.753


No. 2
The following is a DFT calculation (PBE-GGA) of crystalline Pr3Mg7Hg2 at its relaxed geometry.

## Properties
Crystal system: trigonal
Magnetic moment in μB per formula unit: 0.00
Space-group type: No. 166
Energy of formation in eV per atom: -0.196

a b c (Å): 10.328 10.328 10.328
angles (deg): 34.35 34.35 34.35
Fractional positions:
Pr  0.000  0.000  0.000
Pr  0.144  0.144  0.144
Pr  0.856  0.856  0.856
Mg  0.078  0.582  0.582
Mg  0.418  0.418  0.922
Mg  0.418  0.922  0.418
Mg  0.500  0.500  0.500
Mg  0.582  0.078  0.582
Mg  0.582  0.582  0.078
Mg  0.922  0.418  0.418
Hg  0.334  0.334  0.334
Hg  0.666  0.666  0.666